No. 1
Here is crystalline Ag2Bi2Pd at its relaxed geometry from the Alexandria database. Energies are from GGA-PBE.

It has space group I4/mmm (No. 139), with a = 3.745 Å, b = 3.745 Å, c = 16.918 Å, α = 90.00°, β = 90.00° and γ = 90.00°. Symmetry generates all atoms from Ag at (0.000, 0.500, 0.250), Bi at (0.000, 0.000, 0.096) and Pd at (0.000, 0.000, 0.500).

The crystal system is tetragonal. The formation energy from the elements comes out at 0.106 eV per atom. For the electronic total energy, the calculation gives -3.63 eV per atom. The calculation puts the density of states at the Fermi level at 4.52 states/eV/cell. The volume comes out at 237.3 Å³/cell.

---

No. 2
Here is crystalline LaBe2Al at its relaxed geometry from the Alexandria database. Energies are from GGA-PBE.

It has space group R-3m (No. 166, hexagonal axes), with a = 4.0086 Å, b = 4.0086 Å, c = 15.7742 Å, α = 90.00°, β = 90.00° and γ = 120.00°. Symmetry generates all atoms from La at (0.0000, 0.0000, 0.0000), Be at (0.0000, 0.0000, 0.1944) and Al at (0.0000, 0.0000, 0.5000).

The crystal system is trigonal. The formation energy from the elements comes out at -0.094 eV per atom. For the electronic total energy, the calculation gives -4.12 eV per atom. The calculation puts the density of states at the Fermi level at 5.19 states/eV/cell. The volume comes out at 219.5 Å³/cell.

---

No. 3
Here is crystalline Tb2NdDyY at its relaxed geometry from the Alexandria database. Energies are from GGA-PBE.

It has space group Cmcm (No. 63), with a = 8.404 Å, b = 11.570 Å, c = 7.202 Å, α = 90.00°, β = 90.00° and γ = 90.00°. Symmetry generates all atoms from Tb at (0.191, 0.000, 0.000), Nd at (0.000, 0.221, 0.250), Dy at (0.000, 0.486, 0.250) and Y at (0.000, 0.233, 0.750).

The crystal system is orthorhombic. The formation energy from the elements comes out at 0.378 eV per atom. For the electronic total energy, the calculation gives -4.64 eV per atom. The calculation puts the density of states at the Fermi level at 29.62 states/eV/cell. The volume comes out at 700.3 Å³/cell.

---

No. 4
Here is crystalline LaTaSi2 at its relaxed geometry from the Alexandria database. Energies are from GGA-PBE.

It has space group I4/mmm (No. 139), with a = 4.523 Å, b = 4.523 Å, c = 7.653 Å, α = 90.00°, β = 90.00° and γ = 90.00°. Symmetry generates all atoms from La at (0.000, 0.000, 0.000), Ta at (0.000, 0.000, 0.500) and Si at (0.000, 0.500, 0.250).

The crystal system is tetragonal. For the electronic total energy, the calculation gives -6.93 eV per atom. The calculation puts the density of states at the Fermi level at 5.27 states/eV/cell. The volume comes out at 156.5 Å³/cell.